Material: VCoH3
Method: DFT, GGA-PBE
State: relaxed

Output
Final energy in hartree per atom: -0.1950
Space group: Cmce, No. 64
Spin magnetization in μB/cell: 0.0

abc: 4.1492 5.6004 5.6006
angles: 108.92 90.00 90.00
Fractional positions:
H: 0.3469 0.5765 0.9234
H: 0.2501 0.6337 0.3663
H: 0.6531 0.4235 0.0766
H: 0.9846 0.2630 0.2372
H: 0.7501 0.8663 0.1337
H: 0.5154 0.7630 0.7372
H: 0.4846 0.2370 0.2628
H: 0.1531 0.0765 0.4234
H: 0.8469 0.9235 0.5766
H: 0.0154 0.7370 0.7628
H: 0.2499 0.1337 0.8663
H: 0.7499 0.3663 0.6337
Co: 0.2567 0.9068 0.5933
Co: 0.2433 0.4068 0.0933
Co: 0.7433 0.0932 0.4067
Co: 0.7567 0.5932 0.9067
V: 0.7500 0.5879 0.4121
V: 0.7500 0.0879 0.9121
V: 0.2500 0.4121 0.5879
V: 0.2500 0.9121 0.0879